# 1
DFT (PBE) results for a relaxed NpZnPt6 crystal.

Fermi-level density of states (states/eV/cell): 15.432

Lattice parameters (Å, degrees): 5.719 5.719 4.050 90.00 90.00 90.00
Element x y z (fractional)
1 Np 0.000 0.000 0.000
2 Zn 0.500 0.500 0.000
3 Pt 0.000 0.500 0.000
4 Pt 0.253 0.253 0.500
5 Pt 0.253 0.747 0.500
6 Pt 0.500 0.000 0.000
7 Pt 0.747 0.253 0.500
8 Pt 0.747 0.747 0.500

=====

# 2
DFT (PBE) results for a relaxed Ti3ReS crystal.

Energy above the most stable polymorph in this dataset (eV/f.u.): 3.62
Formation energy (no corrections) (eV per atom): 0.66
Fermi-level density of states (states/eV/cell): 7.026

Lattice parameters (Å, degrees): 4.765 4.765 4.765 90.00 90.00 90.00
Element x y z (fractional)
1 Ti 0.000 0.000 0.500
2 Ti 0.000 0.500 0.000
3 Ti 0.500 0.000 0.000
4 Re 0.000 0.000 0.000
5 S 0.500 0.500 0.500

=====

# 3
DFT (PBE) results for a relaxed K8Sb2F crystal.

Formation energy (no corrections) (eV per atom): -0.69
Fermi-level density of states (states/eV/cell): 3.251

Lattice parameters (Å, degrees): 10.790 10.790 7.856 102.74 102.74 32.38
Element x y z (fractional)
1 K 0.025 0.025 0.275
2 K 0.223 0.223 0.130
3 K 0.325 0.325 0.578
4 K 0.412 0.412 0.168
5 K 0.588 0.588 0.832
6 K 0.675 0.675 0.422
7 K 0.777 0.777 0.870
8 K 0.975 0.975 0.725
9 Sb 0.157 0.157 0.671
10 Sb 0.843 0.843 0.329
11 F 0.500 0.500 0.000

=====

Number 1: energy -0.4992 Ry/atom. Number 2: energy -0.5433 Ry/atom. Number 3: energy -0.1767 Ry/atom.